Run A
The following is a DFT calculation (GGA-PBE) of crystalline TcGeNO at its relaxed geometry.

Cell: 2.824 4.572 6.889 Å, 90.00 90.00 90.00°
Fractional coordinates of all 8 atoms:
Tc1 0.000 0.021 0.000
Tc2 0.000 0.979 0.500
Ge1 0.500 0.432 0.832
Ge2 0.500 0.568 0.332
N1 0.500 0.271 0.570
N2 0.500 0.729 0.070
O1 0.000 0.249 0.248
O2 0.000 0.751 0.748

Results
- M_tot: 0.01 μB/f.u.
- Theoretical density: 7.49 Mg/m³
- Symmetry: Pmc2_1 (26)



Run B
The following is a DFT calculation (GGA-PBE) of crystalline TcGeNO at its relaxed geometry.

Cell: 3.731 3.731 8.317 Å, 90.00 90.00 90.00°
Fractional coordinates of all 8 atoms:
Tc1 0.250 0.750 0.000
Tc2 0.750 0.250 0.000
Ge1 0.250 0.250 0.379
Ge2 0.750 0.750 0.621
N1 0.250 0.250 0.903
N2 0.750 0.750 0.097
O1 0.250 0.750 0.500
O2 0.750 0.250 0.500

Results
- M_tot: 0.47 μB/f.u.
- Theoretical density: 5.76 Mg/m³
- Symmetry: P4/nmm (129)



Run C
The following is a DFT calculation (GGA-PBE) of crystalline TcGeNO at its relaxed geometry.

Cell: 5.245 6.472 6.128 Å, 90.00 90.00 90.00°
Fractional coordinates of all 16 atoms:
Tc1 0.000 0.250 0.033
Tc2 0.000 0.750 0.967
Tc3 0.500 0.250 0.967
Tc4 0.500 0.750 0.033
Ge1 0.250 0.000 0.500
Ge2 0.250 0.500 0.500
Ge3 0.750 0.000 0.500
Ge4 0.750 0.500 0.500
N1 0.000 0.250 0.337
N2 0.000 0.750 0.663
N3 0.500 0.250 0.663
N4 0.500 0.750 0.337
O1 0.250 0.000 0.000
O2 0.250 0.500 0.000
O3 0.750 0.000 0.000
O4 0.750 0.500 0.000

Results
- M_tot: 0.00 μB/f.u.
- Theoretical density: 6.41 Mg/m³
- Symmetry: Cmme (67)



The least stable of them is run C.



Run A
The following is a DFT calculation (GGA-PBE) of crystalline TcGeNO at its relaxed geometry.

Cell: 3.103 5.796 5.155 Å, 90.00 90.00 90.00°
Fractional coordinates of all 8 atoms:
Tc1 0.000 0.097 0.000
Tc2 0.000 0.903 0.500
Ge1 0.500 0.266 0.552
Ge2 0.500 0.734 0.052
N1 0.000 0.253 0.353
N2 0.000 0.747 0.853
O1 0.500 0.347 0.899
O2 0.500 0.653 0.399

Results
- M_tot: 0.00 μB/f.u.
- Theoretical density: 7.19 Mg/m³
- Symmetry: Pmc2_1 (26)



Run B
The following is a DFT calculation (GGA-PBE) of crystalline TcGeNO at its relaxed geometry.

Cell: 4.449 4.449 4.370 Å, 90.00 90.00 90.00°
Fractional coordinates of all 8 atoms:
Tc1 0.250 0.250 0.004
Tc2 0.750 0.750 0.996
Ge1 0.250 0.750 0.500
Ge2 0.750 0.250 0.500
N1 0.250 0.250 0.513
N2 0.750 0.750 0.487
O1 0.250 0.750 0.000
O2 0.750 0.250 0.000

Results
- M_tot: 0.00 μB/f.u.
- Theoretical density: 7.70 Mg/m³
- Symmetry: P4/nmm (129)



The least stable of them is run B.



Run A
The following is a DFT calculation (GGA-PBE) of crystalline TmGeNO at its relaxed geometry.

Cell: 5.419 8.013 5.266 Å, 90.00 90.00 90.00°
Fractional coordinates of all 16 atoms:
Tm1 0.014 0.134 0.000
Tm2 0.486 0.134 0.500
Tm3 0.514 0.866 0.000
Tm4 0.986 0.866 0.500
Ge1 0.041 0.614 0.990
Ge2 0.459 0.614 0.490
Ge3 0.541 0.386 0.990
Ge4 0.959 0.386 0.490
N1 0.107 0.593 0.609
N2 0.393 0.593 0.109
N3 0.607 0.407 0.609
N4 0.893 0.407 0.109
O1 0.248 0.988 0.248
O2 0.252 0.988 0.748
O3 0.748 0.012 0.248
O4 0.752 0.012 0.748

Results
- M_tot: 0.00 μB/f.u.
- Theoretical density: 7.89 Mg/m³
- Symmetry: Pca2_1 (29)



Run B
The following is a DFT calculation (GGA-PBE) of crystalline TmGeNO at its relaxed geometry.

Cell: 6.319 6.671 5.360 Å, 90.00 90.00 90.00°
Fractional coordinates of all 16 atoms:
Tm1 0.074 0.167 0.000
Tm2 0.426 0.167 0.500
Tm3 0.574 0.833 0.000
Tm4 0.926 0.833 0.500
Ge1 0.114 0.670 0.996
Ge2 0.386 0.670 0.496
Ge3 0.614 0.330 0.996
Ge4 0.886 0.330 0.496
N1 0.085 0.127 0.585
N2 0.415 0.127 0.085
N3 0.585 0.873 0.585
N4 0.915 0.873 0.085
O1 0.056 0.450 0.218
O2 0.444 0.450 0.718
O3 0.556 0.550 0.218
O4 0.944 0.550 0.718

Results
- M_tot: 0.00 μB/f.u.
- Theoretical density: 7.98 Mg/m³
- Symmetry: Pca2_1 (29)



Run C
The following is a DFT calculation (GGA-PBE) of crystalline TmGeNO at its relaxed geometry.

Cell: 3.227 5.469 5.977 Å, 90.00 90.00 90.00°
Fractional coordinates of all 8 atoms:
Tm1 0.000 0.125 0.000
Tm2 0.000 0.875 0.500
Ge1 0.500 0.394 0.510
Ge2 0.500 0.606 0.010
N1 0.000 0.268 0.642
N2 0.000 0.732 0.142
O1 0.500 0.112 0.289
O2 0.500 0.888 0.789

Results
- M_tot: 0.00 μB/f.u.
- Theoretical density: 8.55 Mg/m³
- Symmetry: Pmc2_1 (26)



The least stable of them is run B.



Run A
The following is a DFT calculation (GGA-PBE) of crystalline TmGeNO at its relaxed geometry.

Cell: 3.818 6.483 4.877 Å, 90.00 90.00 90.00°
Fractional coordinates of all 8 atoms:
Tm1 0.000 0.199 0.000
Tm2 0.000 0.801 0.500
Ge1 0.500 0.331 0.475
Ge2 0.500 0.669 0.975
N1 0.500 0.371 0.859
N2 0.500 0.629 0.359
O1 0.000 0.124 0.565
O2 0.000 0.876 0.065

Results
- M_tot: 0.00 μB/f.u.
- Theoretical density: 7.47 Mg/m³
- Symmetry: Pmc2_1 (26)



Run B
The following is a DFT calculation (GGA-PBE) of crystalline TmGeNO at its relaxed geometry.

Cell: 3.983 3.983 7.129 Å, 90.00 90.00 90.00°
Fractional coordinates of all 8 atoms:
Tm1 0.250 0.250 0.137
Tm2 0.750 0.750 0.863
Ge1 0.250 0.750 0.500
Ge2 0.750 0.250 0.500
N1 0.250 0.250 0.629
N2 0.750 0.750 0.371
O1 0.250 0.750 0.000
O2 0.750 0.250 0.000

Results
- M_tot: 0.00 μB/f.u.
- Theoretical density: 7.97 Mg/m³
- Symmetry: P4/nmm (129)



The least stable of them is run B.



Run A
The following is a DFT calculation (GGA-PBE) of crystalline NaGeOs at its relaxed geometry.

Cell: 6.116 6.116 6.116 Å, 90.00 90.00 90.00°
Fractional coordinates of all 12 atoms:
Na1 0.000 0.000 0.000
Na2 0.000 0.500 0.500
Na3 0.500 0.000 0.500
Na4 0.500 0.500 0.000
Ge1 0.250 0.250 0.750
Ge2 0.250 0.750 0.250
Ge3 0.750 0.250 0.250
Ge4 0.750 0.750 0.750
Os1 0.250 0.250 0.250
Os2 0.250 0.750 0.750
Os3 0.750 0.250 0.750
Os4 0.750 0.750 0.250

Results
- M_tot: 1.19 μB/f.u.
- Theoretical density: 8.30 Mg/m³
- Symmetry: F-43m (216)



Run B
The following is a DFT calculation (GGA-PBE) of crystalline NaGeOs at its relaxed geometry.

Cell: 6.008 6.008 6.008 Å, 90.00 90.00 90.00°
Fractional coordinates of all 12 atoms:
Na1 0.000 0.000 0.000
Na2 0.000 0.500 0.500
Na3 0.500 0.000 0.500
Na4 0.500 0.500 0.000
Ge1 0.250 0.250 0.250
Ge2 0.250 0.750 0.750
Ge3 0.750 0.250 0.750
Ge4 0.750 0.750 0.250
Os1 0.000 0.000 0.500
Os2 0.000 0.500 0.000
Os3 0.500 0.000 0.000
Os4 0.500 0.500 0.500

Results
- M_tot: 0.00 μB/f.u.
- Theoretical density: 8.76 Mg/m³
- Symmetry: F-43m (216)



The least stable of them is run A.



Run A
The following is a DFT calculation (GGA-PBE) of crystalline NaTlGePd at its relaxed geometry.

Cell: 6.903 6.903 6.903 Å, 90.00 90.00 90.00°
Fractional coordinates of all 16 atoms:
Na1 0.000 0.000 0.000
Na2 0.000 0.500 0.500
Na3 0.500 0.000 0.500
Na4 0.500 0.500 0.000
Tl1 0.000 0.000 0.500
Tl2 0.000 0.500 0.000
Tl3 0.500 0.000 0.000
Tl4 0.500 0.500 0.500
Ge1 0.250 0.250 0.250
Ge2 0.250 0.750 0.750
Ge3 0.750 0.250 0.750
Ge4 0.750 0.750 0.250
Pd1 0.250 0.250 0.750
Pd2 0.250 0.750 0.250
Pd3 0.750 0.250 0.250
Pd4 0.750 0.750 0.750

Results
- Theoretical density: 8.21 Mg/m³
- Symmetry: F-43m (216)



Run B
The following is a DFT calculation (GGA-PBE) of crystalline NaTlGePd at its relaxed geometry.

Cell: 6.824 6.824 6.824 Å, 90.00 90.00 90.00°
Fractional coordinates of all 16 atoms:
Na1 0.000 0.000 0.000
Na2 0.000 0.500 0.500
Na3 0.500 0.000 0.500
Na4 0.500 0.500 0.000
Tl1 0.250 0.250 0.250
Tl2 0.250 0.750 0.750
Tl3 0.750 0.250 0.750
Tl4 0.750 0.750 0.250
Ge1 0.250 0.250 0.750
Ge2 0.250 0.750 0.250
Ge3 0.750 0.250 0.250
Ge4 0.750 0.750 0.750
Pd1 0.000 0.000 0.500
Pd2 0.000 0.500 0.000
Pd3 0.500 0.000 0.000
Pd4 0.500 0.500 0.500

Results
- Theoretical density: 8.49 Mg/m³
- Symmetry: F-43m (216)



The least stable of them is run A.



Run A
The following is a DFT calculation (GGA-PBE) of crystalline NaYGePd at its relaxed geometry.

Cell: 6.944 6.944 6.944 Å, 90.00 90.00 90.00°
Fractional coordinates of all 16 atoms:
Na1 0.000 0.000 0.000
Na2 0.000 0.500 0.500
Na3 0.500 0.000 0.500
Na4 0.500 0.500 0.000
Y1 0.000 0.000 0.500
Y2 0.000 0.500 0.000
Y3 0.500 0.000 0.000
Y4 0.500 0.500 0.500
Ge1 0.250 0.250 0.750
Ge2 0.250 0.750 0.250
Ge3 0.750 0.250 0.250
Ge4 0.750 0.750 0.750
Pd1 0.250 0.250 0.250
Pd2 0.250 0.750 0.750
Pd3 0.750 0.250 0.750
Pd4 0.750 0.750 0.250

Results
- M_tot: 0.00 μB/f.u.
- Theoretical density: 5.77 Mg/m³
- Symmetry: F-43m (216)



Run B
The following is a DFT calculation (GGA-PBE) of crystalline NaYGePd at its relaxed geometry.

Cell: 6.730 6.730 6.730 Å, 90.00 90.00 90.00°
Fractional coordinates of all 16 atoms:
Na1 0.000 0.000 0.000
Na2 0.000 0.500 0.500
Na3 0.500 0.000 0.500
Na4 0.500 0.500 0.000
Y1 0.250 0.250 0.750
Y2 0.250 0.750 0.250
Y3 0.750 0.250 0.250
Y4 0.750 0.750 0.750
Ge1 0.250 0.250 0.250
Ge2 0.250 0.750 0.750
Ge3 0.750 0.250 0.750
Ge4 0.750 0.750 0.250
Pd1 0.000 0.000 0.500
Pd2 0.000 0.500 0.000
Pd3 0.500 0.000 0.000
Pd4 0.500 0.500 0.500

Results
- M_tot: 0.00 μB/f.u.
- Theoretical density: 6.34 Mg/m³
- Symmetry: F-43m (216)



The least stable of them is run A.



Run A
The following is a DFT calculation (GGA-PBE) of crystalline NaPmGe at its relaxed geometry.

Cell: 7.025 7.025 7.025 Å, 90.00 90.00 90.00°
Fractional coordinates of all 12 atoms:
Na1 0.000 0.000 0.000
Na2 0.000 0.500 0.500
Na3 0.500 0.000 0.500
Na4 0.500 0.500 0.000
Pm1 0.250 0.250 0.750
Pm2 0.250 0.750 0.250
Pm3 0.750 0.250 0.250
Pm4 0.750 0.750 0.750
Ge1 0.000 0.000 0.500
Ge2 0.000 0.500 0.000
Ge3 0.500 0.000 0.000
Ge4 0.500 0.500 0.500

Results
- M_tot: 0.00 μB/f.u.
- Theoretical density: 4.61 Mg/m³
- Symmetry: F-43m (216)



Run B
The following is a DFT calculation (GGA-PBE) of crystalline NaPmGe at its relaxed geometry.

Cell: 7.003 7.003 7.003 Å, 90.00 90.00 90.00°
Fractional coordinates of all 12 atoms:
Na1 0.000 0.000 0.000
Na2 0.000 0.500 0.500
Na3 0.500 0.000 0.500
Na4 0.500 0.500 0.000
Pm1 0.000 0.000 0.500
Pm2 0.000 0.500 0.000
Pm3 0.500 0.000 0.000
Pm4 0.500 0.500 0.500
Ge1 0.250 0.250 0.250
Ge2 0.250 0.750 0.750
Ge3 0.750 0.250 0.750
Ge4 0.750 0.750 0.250

Results
- M_tot: 0.00 μB/f.u.
- Theoretical density: 4.65 Mg/m³
- Symmetry: F-43m (216)



The least stable of them is run A.